Compound: Ac3ThS4
Source: Alexandria via LeMat-Bulk
Functional: GGA-PBE
Structure: optimized geometry

Computed properties:
Space group ... Cmmm, No. 65
Total DFT energy (no corrections) ... -0.4755 Ry/atom
DOS(E_F) ... 3.27 states/eV/f.u.

Cell: 4.229 7.340 7.340 Å, 109.44 90.00 90.00°
Fractional positions:
Ac 0.500 0.500 0.500
S 0.500 0.243 0.757
S 0.000 0.763 0.763
Th 0.500 0.000 0.000
S 0.500 0.757 0.243
S 0.000 0.237 0.237
Ac 0.000 0.000 0.500
Ac 0.000 0.500 0.000